1.
# InSnOs2Pb PBE relaxed
data_InSnOs2Pb
_chemical_formula_sum 'In1 Sn1 Os2 Pb1'
_space_group_name_H-M_alt 'P 4/m m m'
_space_group_IT_number 123
_space_group_name_Hall '-P 4 2'
_cell_length_a 5.088
_cell_length_b 5.088
_cell_length_c 5.629
_cell_angle_alpha 90.00
_cell_angle_beta 90.00
_cell_angle_gamma 90.00
loop_
_atom_site_label
_atom_site_fract_x
_atom_site_fract_y
_atom_site_fract_z
In1 0.000 0.000 0.000
Sn1 0.500 0.500 0.000
Os1 0.000 0.500 0.500
Pb1 0.500 0.500 0.500
# uncorrected energy	-4.416	eV per atom
# spin magnetization	2.70	μB per cell
# D(E_F)	5.9	states/eV/f.u.
# energy of formation	2166	meV/atom

=====

2.
# Ce6GaBi5 PBE relaxed
data_Ce6GaBi5
_chemical_formula_sum 'Ce12 Ga2 Bi10'
_space_group_name_H-M_alt 'C 1 2/m 1'
_space_group_IT_number 12
_space_group_name_Hall '-C 2y'
_cell_length_a 7.867
_cell_length_b 13.628
_cell_length_c 7.862
_cell_angle_alpha 90.00
_cell_angle_beta 109.54
_cell_angle_gamma 90.00
loop_
_atom_site_label
_atom_site_fract_x
_atom_site_fract_y
_atom_site_fract_z
Ce1 0.238 0.000 0.253
Ce2 0.240 0.160 0.740
Ga1 0.000 0.000 0.500
Bi1 0.000 0.174 0.000
Bi2 0.000 0.335 0.500
Bi3 0.000 0.500 0.000
# uncorrected energy	-5.510	eV per atom
# spin magnetization	7.73	μB per cell
# D(E_F)	33.5	states/eV/f.u.
# energy of formation	-674	meV/atom

=====

3.
# CuTe2W PBE relaxed
data_CuTe2W
_chemical_formula_sum 'Cu2 Te4 W2'
_space_group_name_H-M_alt 'I -4 m 2'
_space_group_IT_number 119
_space_group_name_Hall 'I -4 -2'
_cell_length_a 4.045
_cell_length_b 4.045
_cell_length_c 9.733
_cell_angle_alpha 90.00
_cell_angle_beta 90.00
_cell_angle_gamma 90.00
loop_
_atom_site_label
_atom_site_fract_x
_atom_site_fract_y
_atom_site_fract_z
Cu1 0.000 0.000 0.000
Te1 0.000 0.000 0.500
Te2 0.000 0.500 0.750
W1 0.000 0.500 0.250
# uncorrected energy	-4.930	eV per atom
# spin magnetization	0.26	μB per cell
# D(E_F)	3.6	states/eV/f.u.
# formation energy (no corrections)	0.903	eV/atom
# relative energy among the computed polymorphs	618	meV per atom

=====

4.
# La3Ce2NdN6 PBE relaxed
data_La3Ce2NdN6
_chemical_formula_sum 'La6 Ce4 Nd2 N12'
_space_group_name_H-M_alt 'C 1 2/m 1'
_space_group_IT_number 12
_space_group_name_Hall '-C 2y'
_cell_length_a 6.335
_cell_length_b 10.970
_cell_length_c 6.365
_cell_angle_alpha 90.00
_cell_angle_beta 109.40
_cell_angle_gamma 90.00
loop_
_atom_site_label
_atom_site_fract_x
_atom_site_fract_y
_atom_site_fract_z
La1 0.000 0.000 0.000
La2 0.000 0.333 0.000
Ce1 0.000 0.167 0.500
Nd1 0.000 0.500 0.500
N1 0.230 0.000 0.730
N2 0.250 0.173 0.267
# uncorrected energy	-8.186	eV per atom
# spin magnetization	0.00	μB per cell
# D(E_F)	5.2	states/eV/f.u.
# formation energy (no corrections)	-1.405	eV/atom

=====

5.
# NaTlO2 PBE relaxed
data_NaTlO2
_chemical_formula_sum 'Na2 Tl2 O4'
_space_group_name_H-M_alt 'A m m 2'
_space_group_IT_number 38
_space_group_name_Hall 'A 2 -2'
_cell_length_a 3.532
_cell_length_b 3.296
_cell_length_c 11.380
_cell_angle_alpha 90.00
_cell_angle_beta 90.00
_cell_angle_gamma 90.00
loop_
_atom_site_label
_atom_site_fract_x
_atom_site_fract_y
_atom_site_fract_z
Na1 0.000 0.000 0.000
Tl1 0.500 0.000 0.758
O1 0.000 0.000 0.647
O2 0.500 0.000 0.389
# uncorrected energy	-4.319	eV per atom
# spin magnetization	0.00	μB per cell
# D(E_F)	0.7	states/eV/f.u.
# formation energy (no corrections)	-0.919	eV/atom

=====

6.
# Pr3Ga3Ir2 PBE relaxed
data_Pr3Ga3Ir2
_chemical_formula_sum 'Pr12 Ga12 Ir8'
_space_group_name_H-M_alt 'P n m a'
_space_group_IT_number 62
_space_group_name_Hall '-P 2ac 2n'
_cell_length_a 8.043
_cell_length_b 15.286
_cell_length_c 5.905
_cell_angle_alpha 90.00
_cell_angle_beta 90.00
_cell_angle_gamma 90.00
loop_
_atom_site_label
_atom_site_fract_x
_atom_site_fract_y
_atom_site_fract_z
Pr1 0.031 0.107 0.113
Pr2 0.162 0.250 0.625
Ga1 0.165 0.039 0.601
Ga2 0.179 0.750 0.611
Ir1 0.129 0.604 0.376
# uncorrected energy	-5.841	eV per atom
# spin magnetization	0.00	μB per cell
# D(E_F)	5.5	states/eV/f.u.
# energy of formation	-699	meV/atom